[1]
CrGaSbTe2: optimized geometry, GGA-PBEsol.

E_form (uncorrected): 0.8359 eV/atom

a b c (Å): 5.121 5.315 5.315
angles (deg): 90.00 90.00 90.00
Element x y z (fractional)
1 Ga 0.000 0.000 0.000
2 Te 0.000 0.500 0.000
3 Cr 0.500 0.500 0.500
4 Sb 0.500 0.000 0.000
5 Te 0.000 0.000 0.500

[2]
ZrSc2CrGa: optimized geometry, GGA-PBEsol.

energy of formation from the pure elements: 1056 meV/atom

a b c (Å): 4.504 5.075 5.075
angles (deg): 90.00 90.00 90.00
Element x y z (fractional)
1 Ga 0.500 0.500 0.500
2 Zr 0.000 0.000 0.000
3 Sc 0.000 0.000 0.500
4 Cr 0.500 0.000 0.000
5 Sc 0.000 0.500 0.000

[3]
CrGaSe3: optimized geometry, GGA-PBEsol.

E_form (uncorrected): 0.0796 eV/atom

a b c (Å): 4.763 4.763 4.763
angles (deg): 90.00 90.00 90.00
Element x y z (fractional)
1 Ga 0.500 0.500 0.500
2 Se 0.000 0.000 0.500
3 Cr 0.000 0.000 0.000
4 Se 0.500 0.000 0.000
5 Se 0.000 0.500 0.000

[4]
TlCrGaSi2: optimized geometry, GGA-PBEsol.

E_form (uncorrected): 1.5778 eV/atom

a b c (Å): 5.174 5.096 5.096
angles (deg): 90.00 90.00 90.00
Element x y z (fractional)
1 Si 0.000 0.500 0.000
2 Si 0.000 0.000 0.500
3 Tl 0.000 0.000 0.000
4 Ga 0.500 0.000 0.000
5 Cr 0.500 0.500 0.500

[5]
CrGaSn3: optimized geometry, GGA-PBEsol.

energy of formation from the pure elements: 859 meV/atom

a b c (Å): 5.192 5.192 5.192
angles (deg): 90.00 90.00 90.00
Element x y z (fractional)
1 Sn 0.500 0.000 0.000
2 Ga 0.000 0.000 0.000
3 Sn 0.000 0.000 0.500
4 Cr 0.500 0.500 0.500
5 Sn 0.000 0.500 0.000

[6]
Sr3CrGa: optimized geometry, GGA-PBEsol.

energy of formation from the pure elements: 538 meV/atom

a b c (Å): 6.001 6.001 6.001
angles (deg): 90.00 90.00 90.00
Element x y z (fractional)
1 Sr 0.000 0.000 0.500
2 Sr 0.000 0.500 0.000
3 Ga 0.000 0.000 0.000
4 Sr 0.500 0.000 0.000
5 Cr 0.500 0.500 0.500

[7]
TaCrGa2: optimized geometry, GGA-PBEsol.

energy of formation from the pure elements: 161 meV/atom

a b c (Å): 4.361 4.361 4.361
angles (deg): 60.00 60.00 60.00
Element x y z (fractional)
1 Ta 0.500 0.500 0.500
2 Cr 0.000 0.000 0.000
3 Ga 0.250 0.250 0.250
4 Ga 0.750 0.750 0.750

[8]
Ta3CrGa: optimized geometry, GGA-PBEsol.

energy of formation from the pure elements: 965 meV/atom

a b c (Å): 4.543 4.543 4.543
angles (deg): 90.00 90.00 90.00
Element x y z (fractional)
1 Ta 0.500 0.000 0.000
2 Ta 0.000 0.500 0.000
3 Cr 0.000 0.000 0.000
4 Ta 0.000 0.000 0.500
5 Ga 0.500 0.500 0.500